! Ba2LiCdN, relaxed, DFT PBE; values from VASP
&SYSTEM
  ibrav = 0, nat = 5, ntyp = 4
/
ATOMIC_SPECIES
Ba 137.33 Ba.upf
Li 6.94 Li.upf
Cd 112.41 Cd.upf
N 14.01 N.upf
ATOMIC_POSITIONS angstrom
Ba 0.0000 2.8970 0.0000
Ba 2.8970 0.0000 0.0000
Li 0.0000 0.0000 2.0988
Cd 2.8970 2.8970 2.0988
N 0.0000 0.0000 0.0000
CELL_PARAMETERS angstrom
5.7940 0.0000 0.0000
0.0000 5.7940 0.0000
0.0000 0.0000 4.1976
! Density of states at the Fermi level = 2.8 states/eV/cell
! Crystal system = tetragonal
! Magnetic moment = 0.0 μB/f.u.
! Formation energy from raw total energies = -0.229 eV/atom